i) Here is a relaxed structure of Nd2GeS5 from the Alexandria database. Energies are from GGA-PBE.

a = 11.6203 Å, b = 8.5539 Å, c = 8.5504 Å
α = 90.00°, β = 108.24°, γ = 90.00°
Sites, in units of the cell vectors:
Nd 0.0356 0.1249 0.2323
Nd 0.0356 0.3751 0.7323
Nd 0.3730 0.1334 0.0468
Nd 0.3730 0.3666 0.5468
Nd 0.6270 0.6334 0.4532
Nd 0.6270 0.8666 0.9532
Nd 0.9644 0.6249 0.2677
Nd 0.9644 0.8751 0.7677
Ge 0.3055 0.5883 0.0278
Ge 0.3055 0.9117 0.5278
Ge 0.6945 0.0883 0.4722
Ge 0.6945 0.4117 0.9722
S 0.1079 0.6171 0.9978
S 0.1079 0.8829 0.4978
S 0.1124 0.1158 0.9412
S 0.1124 0.3842 0.4412
S 0.2936 0.0976 0.3316
S 0.2936 0.4024 0.8316
S 0.3745 0.6976 0.4459
S 0.3745 0.8024 0.9459
S 0.4227 0.0612 0.7343
S 0.4227 0.4388 0.2343
S 0.5773 0.5612 0.7657
S 0.5773 0.9388 0.2657
S 0.6255 0.1976 0.0541
S 0.6255 0.3024 0.5541
S 0.7064 0.5976 0.1684
S 0.7064 0.9024 0.6684
S 0.8876 0.6158 0.5588
S 0.8876 0.8842 0.0588
S 0.8921 0.1171 0.5022
S 0.8921 0.3829 0.0022

Results
Theoretical density ... 4.291 g/cm3
SG ... P2_1/c
Fermi-level density of states ... 0.00 states/eV/atom
Calculated volume ... 807.2 Å³/cell
M_tot ... 0.000 μB per cell

***

ii) Here is a relaxed structure of Nd2GeS5 from the Alexandria database. Energies are from GGA-PBE.

a = 5.7984 Å, b = 6.7949 Å, c = 6.9282 Å
α = 95.22°, β = 114.72°, γ = 115.24°
Sites, in units of the cell vectors:
Nd 0.0000 0.0000 0.0000
Nd 0.0896 0.6411 0.5380
Ge 0.5150 0.3205 0.7685
S 0.1314 0.3192 0.7673
S 0.3752 0.0585 0.4539
S 0.4855 0.0095 0.9505
S 0.6147 0.6312 0.5872
S 0.9507 0.5824 0.0837

Results
Theoretical density ... 4.087 g/cm3
SG ... P1
Calculated volume ... 211.9 Å³/cell
M_tot ... 0.000 μB per cell

***

Which structure is most stable, and how do the rest compare? From most to least stable: i), ii).

***

i) Here is a relaxed structure of Nd2GeSb from the Alexandria database. Energies are from GGA-PBE.

a = 6.1914 Å, b = 4.3863 Å, c = 8.7666 Å
α = 90.00°, β = 110.17°, γ = 90.00°
Sites, in units of the cell vectors:
Nd 0.1897 0.2500 0.4254
Nd 0.2899 0.7500 0.0594
Nd 0.7101 0.2500 0.9406
Nd 0.8103 0.7500 0.5746
Ge 0.0968 0.2500 0.8009
Ge 0.9032 0.7500 0.1991
Sb 0.3896 0.7500 0.7038
Sb 0.6104 0.2500 0.2962

Results
Theoretical density ... 7.176 g/cm3
SG ... P2_1/m
Fermi-level density of states ... 0.42 states/eV/atom
Calculated volume ... 223.5 Å³/cell
M_tot ... 0.000 μB per cell

***

ii) Here is a relaxed structure of Nd2GeSb from the Alexandria database. Energies are from GGA-PBE.

a = 4.5493 Å, b = 24.0725 Å, c = 4.2785 Å
α = 90.00°, β = 90.00°, γ = 90.00°
Sites, in units of the cell vectors:
Nd 0.0000 0.0610 0.2500
Nd 0.0000 0.3202 0.2500
Nd 0.0000 0.6798 0.7500
Nd 0.0000 0.9390 0.7500
Nd 0.5000 0.1798 0.7500
Nd 0.5000 0.4390 0.7500
Nd 0.5000 0.5610 0.2500
Nd 0.5000 0.8202 0.2500
Ge 0.0000 0.4602 0.2500
Ge 0.0000 0.5398 0.7500
Ge 0.5000 0.0398 0.7500
Ge 0.5000 0.9602 0.2500
Sb 0.0000 0.1888 0.2500
Sb 0.0000 0.8112 0.7500
Sb 0.5000 0.3112 0.7500
Sb 0.5000 0.6888 0.2500

Results
Theoretical density ... 6.845 g/cm3
SG ... Cmcm
Fermi-level density of states ... 0.45 states/eV/atom
Calculated volume ... 468.6 Å³/cell
M_tot ... 0.000 μB per cell

***

Which structure is most stable, and how do the rest compare? From most to least stable: ii), i).

***

i) Here is a relaxed structure of Nd2ScGe2 from the Alexandria database. Energies are from GGA-PBE.

a = 4.3157 Å, b = 6.2068 Å, c = 9.3788 Å
α = 90.00°, β = 90.00°, γ = 90.00°
Sites, in units of the cell vectors:
Nd 0.0000 0.0000 0.2019
Nd 0.0000 0.0000 0.7981
Nd 0.5000 0.5000 0.2981
Nd 0.5000 0.5000 0.7019
Sc 0.0000 0.5000 0.0000
Sc 0.5000 0.0000 0.5000
Ge 0.0000 0.2821 0.5000
Ge 0.0000 0.7179 0.5000
Ge 0.5000 0.2179 0.0000
Ge 0.5000 0.7821 0.0000

Results
Theoretical density ... 6.328 g/cm3
SG ... Immm
Fermi-level density of states ... 1.02 states/eV/atom
Calculated volume ... 251.2 Å³/cell
M_tot ... 0.008 μB per cell

***

ii) Here is a relaxed structure of Nd2ScGe2 from the Alexandria database. Energies are from GGA-PBE.

a = 6.4546 Å, b = 6.4546 Å, c = 10.7105 Å
α = 115.86°, β = 115.86°, γ = 39.71°
Sites, in units of the cell vectors:
Nd 0.0137 0.0137 0.1846
Nd 0.1824 0.1824 0.5957
Nd 0.8176 0.8176 0.4043
Nd 0.9863 0.9863 0.8154
Sc 0.2754 0.2754 0.1290
Sc 0.7246 0.7246 0.8710
Ge 0.3741 0.3741 0.9370
Ge 0.4897 0.4897 0.6149
Ge 0.5103 0.5103 0.3851
Ge 0.6259 0.6259 0.0630

Results
Theoretical density ... 6.294 g/cm3
SG ... C2/m
Fermi-level density of states ... 0.73 states/eV/atom
Calculated volume ... 252.6 Å³/cell
M_tot ... 0.000 μB per cell

***

Which structure is most stable, and how do the rest compare? From most to least stable: ii), i).